Record 1
Computed, not measured: a relaxed structure of LiLaEuMg at the GGA-PBE level of DFT.

## Properties
SG ... F-43m (216)
V ... 28.615 Å³/atom
E ... -4.606 eV per atom
Total magnetic moment ... 7.151 μB per cell
E_form ... 71 meV/atom

a b c (Å): 5.4499 5.4499 5.4499
angles (deg): 60.00 60.00 60.00
With the nearest neighbours (Å) after each atom.
Sites, in units of the cell vectors:
La: 0.0000 0.0000 0.0000  4 Li 3.34, 4 Eu 3.34
Eu: 0.7500 0.7500 0.7500  4 La 3.34, 4 Mg 3.34
Li: 0.2500 0.2500 0.2500  4 Mg 3.34, 4 La 3.34
Mg: 0.5000 0.5000 0.5000  4 Li 3.34, 4 Eu 3.34

---

Record 2
Computed, not measured: a relaxed structure of LiLaEuOs at the GGA-PBE level of DFT.

## Properties
SG ... F-43m (216)
V ... 23.166 Å³/atom
E ... -7.032 eV per atom
Total magnetic moment ... 7.017 μB per cell
E_form ... 54 meV/atom

a b c (Å): 5.0793 5.0793 5.0793
angles (deg): 60.00 60.00 60.00
With the nearest neighbours (Å) after each atom.
Sites, in units of the cell vectors:
Li: 0.5000 0.5000 0.5000  4 La 3.11, 4 Eu 3.11
La: 0.7500 0.7500 0.7500  4 Os 3.11, 4 Li 3.11
Os: 0.0000 0.0000 0.0000  4 Eu 3.11, 4 La 3.11
Eu: 0.2500 0.2500 0.2500  4 Li 3.11, 4 Os 3.11

---

Record 3
Computed, not measured: a relaxed structure of LiLaEuPt at the GGA-PBE level of DFT.

## Properties
SG ... F-43m (216)
V ... 24.822 Å³/atom
E ... -6.315 eV per atom
Total magnetic moment ... 7.045 μB per cell
E_form ... -526 meV/atom

a b c (Å): 5.1976 5.1976 5.1976
angles (deg): 60.00 60.00 60.00
With the nearest neighbours (Å) after each atom.
Sites, in units of the cell vectors:
La: 0.0000 0.0000 0.0000  4 Li 3.18, 4 Pt 3.18
Li: 0.7500 0.7500 0.7500  4 La 3.18, 4 Eu 3.18
Pt: 0.2500 0.2500 0.2500  4 La 3.18, 4 Eu 3.18
Eu: 0.5000 0.5000 0.5000  4 Pt 3.18, 4 Li 3.18

---

Record 4
Computed, not measured: a relaxed structure of LiLaEuRh at the GGA-PBE level of DFT.

## Properties
SG ... F-43m (216)
V ... 24.134 Å³/atom
E ... -6.415 eV per atom
Total magnetic moment ... 7.125 μB per cell
E_form ... -298 meV/atom

a b c (Å): 5.1491 5.1491 5.1491
angles (deg): 60.00 60.00 60.00
With the nearest neighbours (Å) after each atom.
Sites, in units of the cell vectors:
Eu: 0.7500 0.7500 0.7500  4 Li 3.15, 4 Rh 3.15
Rh: 0.5000 0.5000 0.5000  4 La 3.15, 4 Eu 3.15
Li: 0.0000 0.0000 0.0000  4 La 3.15, 4 Eu 3.15
La: 0.2500 0.2500 0.2500  4 Li 3.15, 4 Rh 3.15

---

Record 5
Computed, not measured: a relaxed structure of LiLaEuSi at the GGA-PBE level of DFT.

## Properties
SG ... F-43m (216)
Formation energy from raw total energies ... -115 kJ/mol of formula units
V ... 25.841 Å³/atom
E ... -5.934 eV per atom
Total magnetic moment ... 7.473 μB per cell

a b c (Å): 5.2678 5.2678 5.2678
angles (deg): 60.00 60.00 60.00
With the nearest neighbours (Å) after each atom.
Sites, in units of the cell vectors:
Eu: 0.0000 0.0000 0.0000  4 Li 3.23, 4 Si 3.23
Si: 0.7500 0.7500 0.7500  4 Eu 3.23, 4 La 3.23
La: 0.5000 0.5000 0.5000  4 Si 3.23, 4 Li 3.23
Li: 0.2500 0.2500 0.2500  4 La 3.23, 4 Eu 3.23

---

Record 6
Computed, not measured: a relaxed structure of LiLaEuSn at the GGA-PBE level of DFT.

## Properties
SG ... F-43m (216)
V ... 29.764 Å³/atom
E ... -5.723 eV per atom
Total magnetic moment ... 7.527 μB per cell
E_form ... -444 meV/atom

a b c (Å): 5.5219 5.5219 5.5219
angles (deg): 60.00 60.00 60.00
With the nearest neighbours (Å) after each atom.
Sites, in units of the cell vectors:
Li: 0.7500 0.7500 0.7500  4 La 3.38, 4 Eu 3.38
La: 0.5000 0.5000 0.5000  4 Sn 3.38, 4 Li 3.38
Sn: 0.2500 0.2500 0.2500  4 La 3.38, 4 Eu 3.38
Eu: 0.0000 0.0000 0.0000  4 Sn 3.38, 4 Li 3.38

---

Record 7
Computed, not measured: a relaxed structure of LiLaTbEu at the GGA-PBE level of DFT.

## Properties
SG ... F-43m (216)
V ... 33.350 Å³/atom
E ... -5.237 eV per atom
Total magnetic moment ... 7.147 μB per cell
E_form ... 200 meV/atom

a b c (Å): 5.7353 5.7353 5.7353
angles (deg): 60.00 60.00 60.00
With the nearest neighbours (Å) after each atom.
Sites, in units of the cell vectors:
La: 0.7500 0.7500 0.7500  4 Tb 3.51, 4 Li 3.51
Eu: 0.2500 0.2500 0.2500  4 Tb 3.51, 4 Li 3.51
Tb: 0.5000 0.5000 0.5000  4 La 3.51, 4 Eu 3.51
Li: 0.0000 0.0000 0.0000  4 Eu 3.51, 4 La 3.51

---

Record 8
Computed, not measured: a relaxed structure of LiLaEuTm at the GGA-PBE level of DFT.

## Properties
SG ... F-43m (216)
V ... 32.716 Å³/atom
E ... -5.210 eV per atom
Total magnetic moment ... 7.140 μB per cell
E_form ... 187 meV/atom

a b c (Å): 5.6987 5.6987 5.6987
angles (deg): 60.00 60.00 60.00
With the nearest neighbours (Å) after each atom.
Sites, in units of the cell vectors:
Tm: 0.5000 0.5000 0.5000  4 La 3.49, 4 Eu 3.49
La: 0.2500 0.2500 0.2500  4 Li 3.49, 4 Tm 3.49
Li: 0.0000 0.0000 0.0000  4 Eu 3.49, 4 La 3.49
Eu: 0.7500 0.7500 0.7500  4 Li 3.49, 4 Tm 3.49